# 1
## TaAg2Br (GGA-PBE)

Data for crystalline TaAg2Br at its relaxed geometry.

a = 9.171 Å, b = 3.055 Å, c = 5.633 Å
α = 90.00°, β = 100.71°, γ = 90.00°
Space group Cm (No. 8)
Asymmetric unit:
Ta (0.000, 0.000, 0.000) x2
Ag (0.246, 0.500, 0.292) x2
Ag (0.496, 0.000, 0.496) x2
Br (0.261, 0.000, 0.823) x2

The total magnetization comes out at 0.0 μB/cell. The formation energy from raw total energies is 0.441 eV per atom. The distance to the lowest polymorph of the same formula comes out at 229 meV per atom.



# 2
## Tb2Pr6DyHo (GGA-PBE)

Data for crystalline Tb2Pr6DyHo at its relaxed geometry.

a = 9.310 Å, b = 15.437 Å, c = 9.740 Å
α = 90.00°, β = 97.86°, γ = 90.00°
Space group C2/c (No. 15)
Asymmetric unit:
Tb (0.247, 0.048, 0.046) x8
Pr (0.061, 0.177, 0.446) x8
Pr (0.099, 0.392, 0.618) x8
Pr (0.213, 0.222, 0.811) x8
Dy (0.000, 0.027, 0.750) x4
Ho (0.000, 0.411, 0.250) x4

For the energy of formation, the calculation gives 0.1150 eV per atom. The total magnetization comes out at 0.0 μB/cell.



Number 2 is which compound? Tb2Pr6DyHo



What did the second record say?
## Tb2Pr6DyHo (GGA-PBE)

Data for crystalline Tb2Pr6DyHo at its relaxed geometry.

a = 9.310 Å, b = 15.437 Å, c = 9.740 Å
α = 90.00°, β = 97.86°, γ = 90.00°
Space group C2/c (No. 15)
Asymmetric unit:
Tb (0.247, 0.048, 0.046) x8
Pr (0.061, 0.177, 0.446) x8
Pr (0.099, 0.392, 0.618) x8
Pr (0.213, 0.222, 0.811) x8
Dy (0.000, 0.027, 0.750) x4
Ho (0.000, 0.411, 0.250) x4

For the energy of formation, the calculation gives 0.1150 eV per atom. The total magnetization comes out at 0.0 μB/cell.